Compound: ZnC2N
Source: Alexandria via LeMat-Bulk
Functional: PBE-GGA
Structure: relaxed

Cell lengths 4.3669, 4.3669, 4.6930 Å; angles 62.27, 62.27, 90.00 degrees
Site moments in Bohr magnetons follow the coordinates.
Positions (direct):
Zn: 0.0000 0.0000 0.0000  0.09
Zn: 0.7500 0.2500 0.5000  0.08
C: 0.5395 0.1250 0.2500  0.18
C: 0.2105 0.6250 0.2500  0.16
C: 0.3750 0.4605 0.7500  0.18
C: 0.8750 0.7895 0.7500  0.16
N: 0.5000 0.5000 0.0000  0.01
N: 0.2500 0.7500 0.5000  0.00

* distance to the lowest polymorph of the same formula: 0 meV/atom
* formation energy (no corrections): 1.47 eV per atom
* space group: I-42d (122)
* D(E_F): 3.56 states/eV per cell
* volume: 8.42 Å³ per atom
* magnetic moment: 0.64 μB/f.u.